(1)
## NaNi2F (PBE+U)

Data for an optimized crystal structure of NaNi2F.

Cell: 4.401 4.401 4.401 Å, 60.00 60.00 60.00°
Last column: magnetic moment on the atom in μB.
Fractional positions:
Ni1 0.250 0.250 0.250  1.12
Ni2 0.750 0.750 0.750  1.12
F1 0.000 0.000 0.000  -0.06
Na1 0.500 0.500 0.500  -0.01

Calculated values
Energy relative to the lowest polymorph listed for this composition in meV per atom: 697

(2)
## Na2NiF4 (PBE+U)

Data for an optimized crystal structure of Na2NiF4.

Cell: 6.080 5.897 6.579 Å, 90.00 117.62 90.00°
Last column: magnetic moment on the atom in μB.
Fractional positions:
Na1 0.659 0.750 0.009  0.00
Na2 0.341 0.250 0.991  0.00
Na3 0.177 0.250 0.463  0.00
Na4 0.823 0.750 0.537  0.00
Ni1 0.254 0.750 0.216  1.81
Ni2 0.746 0.250 0.784  1.81
F1 0.504 0.528 0.251  0.04
F2 0.994 0.750 0.906  0.04
F3 0.006 0.250 0.094  0.04
F4 0.504 0.972 0.251  0.04
F5 0.972 0.250 0.657  0.03
F6 0.496 0.028 0.749  0.04
F7 0.496 0.472 0.749  0.04
F8 0.028 0.750 0.343  0.03

Calculated values
Energy relative to the lowest polymorph listed for this composition in meV per atom: 154

(3)
## NaNiF (PBE+U)

Data for an optimized crystal structure of NaNiF.

Cell: 5.455 2.994 11.615 Å, 90.00 90.00 90.00°
Last column: magnetic moment on the atom in μB.
Fractional positions:
Ni1 0.372 0.250 0.557  1.00
Ni2 0.128 0.750 0.057  1.00
Ni3 0.628 0.750 0.443  1.00
Ni4 0.872 0.250 0.943  1.00
F1 0.668 0.250 0.796  0.00
F2 0.832 0.750 0.296  0.00
F3 0.332 0.750 0.204  0.00
F4 0.168 0.250 0.704  0.00
Na1 0.136 0.250 0.323  0.00
Na2 0.364 0.750 0.823  0.00
Na3 0.864 0.750 0.677  0.00
Na4 0.636 0.250 0.177  0.00

Calculated values
Energy relative to the lowest polymorph listed for this composition in meV per atom: 152

(4)
## Na6NiF12 (PBE+U)

Data for an optimized crystal structure of Na6NiF12.

Cell: 6.446 6.446 6.446 Å, 97.96 97.96 97.96°
Last column: magnetic moment on the atom in μB.
Fractional positions:
Na1 0.152 0.287 0.608  0.00
Na2 0.713 0.392 0.848  0.00
Na3 0.392 0.848 0.713  0.00
Na4 0.848 0.713 0.392  0.00
Na5 0.287 0.608 0.152  0.00
Na6 0.608 0.152 0.287  0.00
Ni1 0.000 0.000 0.000  -0.01
F1 0.461 0.162 0.590  0.30
F2 0.162 0.590 0.461  0.30
F3 0.590 0.461 0.162  0.30
F4 0.539 0.838 0.410  0.30
F5 0.838 0.410 0.539  0.30
F6 0.410 0.539 0.838  0.30
F7 0.013 0.949 0.720  0.00
F8 0.280 0.987 0.051  0.00
F9 0.051 0.280 0.987  0.00
F10 0.987 0.051 0.280  0.00
F11 0.720 0.013 0.949  0.00
F12 0.949 0.720 0.013  0.00

Calculated values
Calculated total energy in eV per atom: -3.847

| no. | DOS(E_F) (states/eV per cell) | total magnetic moment (μB per atom) |
| --- | --- | --- |
| 1 | 1.68 | 0.491 |
| 2 | 0.00 | 0.286 |
| 3 | 1.88 | 0.337 |
| 4 | 7.43 | 0.105 |